# 1
This record from Alexandria via LeMat-Bulk describes a relaxed structure of Ga12Te3As5. The functional is PBE.

a = 14.0645 Å, b = 14.0645 Å, c = 14.0645 Å
α = 109.47°, β = 109.47°, γ = 109.47°
Closest atoms and distances in Å follow each position.
Atoms (fractional coordinates):
1 Te 0.7500 0.3750 0.1250  8 Ga 2.98-3.10
2 Te 0.8750 0.7500 0.1250  8 Ga 2.98-3.10
3 Te 0.3750 0.7500 0.6250  8 Ga 2.98-3.10
4 Te 0.2500 0.1250 0.3750  8 Ga 2.98-3.10
5 Te 0.8750 0.1250 0.2500  8 Ga 2.98-3.10
6 Te 0.3750 0.6250 0.2500  8 Ga 2.98-3.10
7 Te 0.6250 0.3750 0.7500  8 Ga 2.98-3.10
8 Te 0.1250 0.8750 0.7500  8 Ga 2.98-3.10
9 Te 0.7500 0.8750 0.6250  8 Ga 2.98-3.10
10 Te 0.6250 0.2500 0.3750  8 Ga 2.98-3.10
11 Te 0.1250 0.2500 0.8750  8 Ga 2.98-3.10
12 Te 0.2500 0.6250 0.8750  8 Ga 2.98-3.10
13 As 0.1250 0.3750 0.2500  4 Ga 2.56
14 As 0.0000 0.5000 0.0000  6 Ga 2.69
15 As 0.0000 0.0000 0.0000  6 Ga 2.69
16 As 0.3750 0.2500 0.1250  4 Ga 2.56
17 As 0.5000 0.0000 0.5000  6 Ga 2.69
18 As 0.5000 0.5000 0.0000  6 Ga 2.69
19 As 0.1250 0.7500 0.3750  4 Ga 2.56
20 As 0.7500 0.1250 0.8750  4 Ga 2.56
21 As 0.7500 0.6250 0.3750  4 Ga 2.56
22 As 0.3750 0.1250 0.7500  4 Ga 2.56
23 As 0.6250 0.8750 0.2500  4 Ga 2.56
24 As 0.5000 0.5000 0.5000  6 Ga 2.69
25 As 0.5000 0.0000 0.0000  6 Ga 2.69
26 As 0.0000 0.0000 0.5000  6 Ga 2.69
27 As 0.2500 0.3750 0.6250  4 Ga 2.56
28 As 0.2500 0.8750 0.1250  4 Ga 2.56
29 As 0.0000 0.5000 0.5000  6 Ga 2.69
30 As 0.8750 0.2500 0.6250  4 Ga 2.56
31 As 0.6250 0.7500 0.8750  4 Ga 2.56
32 As 0.8750 0.6250 0.7500  4 Ga 2.56
33 Ga 0.7146 0.1351 0.0445  2 As 2.56-2.69
34 Ga 0.3299 0.5445 0.4095  2 As 2.56-2.69
35 Ga 0.9555 0.3649 0.2854  2 As 2.56-2.69
36 Ga 0.5445 0.2146 0.1351  2 As 2.56-2.69
37 Ga 0.5795 0.7146 0.6701  2 As 2.56-2.69
38 Ga 0.9555 0.5905 0.1701  2 As 2.56-2.69
39 Ga 0.3299 0.7854 0.4205  2 As 2.56-2.69
40 Ga 0.0905 0.9205 0.1351  2 As 2.56-2.69
41 Ga 0.5905 0.9555 0.6701  2 As 2.56-2.69
42 Ga 0.7146 0.5795 0.1701  2 As 2.56-2.69
43 Ga 0.7854 0.4555 0.3649  2 As 2.56-2.69
44 Ga 0.8299 0.9095 0.0445  2 As 2.56-2.69
45 Ga 0.1351 0.7146 0.5445  2 As 2.56-2.69
46 Ga 0.3649 0.4095 0.0795  2 As 2.56-2.69
47 Ga 0.0795 0.9095 0.3649  2 As 2.56-2.69
48 Ga 0.4205 0.1351 0.5905  2 As 2.56-2.69
49 Ga 0.0795 0.1701 0.2146  2 As 2.56-2.69
50 Ga 0.4555 0.6701 0.0905  2 As 2.56-2.69
51 Ga 0.8299 0.9205 0.2854  2 As 2.56-2.69
52 Ga 0.1351 0.4205 0.0905  2 As 2.56-2.69
53 Ga 0.3649 0.9555 0.7854  2 As 2.56-2.69
54 Ga 0.5905 0.6351 0.4205  2 As 2.56-2.69
55 Ga 0.9095 0.8299 0.5445  2 As 2.56-2.69
56 Ga 0.7854 0.3299 0.9205  2 As 2.56-2.69
57 Ga 0.4095 0.3649 0.5795  2 As 2.56-2.69
58 Ga 0.0905 0.1701 0.4555  2 As 2.56-2.69
59 Ga 0.2146 0.6701 0.0795  2 As 2.56-2.69
60 Ga 0.1701 0.0795 0.7146  2 As 2.56-2.69
61 Ga 0.6351 0.0445 0.2146  2 As 2.56-2.69
62 Ga 0.8649 0.5795 0.9095  2 As 2.56-2.69
63 Ga 0.5445 0.3299 0.9095  2 As 2.56-2.69
64 Ga 0.5795 0.8649 0.4095  2 As 2.56-2.69
65 Ga 0.9205 0.8299 0.7854  2 As 2.56-2.69
66 Ga 0.9205 0.0905 0.6351  2 As 2.56-2.69
67 Ga 0.8649 0.2854 0.4555  2 As 2.56-2.69
68 Ga 0.1701 0.0905 0.9555  2 As 2.56-2.69
69 Ga 0.6351 0.5905 0.9205  2 As 2.56-2.69
70 Ga 0.4095 0.0445 0.3299  2 As 2.56-2.69
71 Ga 0.2854 0.4205 0.8299  2 As 2.56-2.69
72 Ga 0.2146 0.5445 0.6351  2 As 2.56-2.69
73 Ga 0.9095 0.0795 0.8649  2 As 2.56-2.69
74 Ga 0.6701 0.2146 0.5795  2 As 2.56-2.69
75 Ga 0.4555 0.7854 0.8649  2 As 2.56-2.69
76 Ga 0.0445 0.4095 0.8299  2 As 2.56-2.69
77 Ga 0.4205 0.2854 0.3299  2 As 2.56-2.69
78 Ga 0.0445 0.6351 0.7146  2 As 2.56-2.69
79 Ga 0.6701 0.4555 0.5905  2 As 2.56-2.69
80 Ga 0.2854 0.8649 0.9555  2 As 2.56-2.69

Its uncorrected formation energy is 0.05 eV per atom.

# 2
This record from Alexandria via LeMat-Bulk describes a relaxed structure of LiScAsAu. The functional is PBE.

a = 4.6672 Å, b = 4.6672 Å, c = 4.6672 Å
α = 60.00°, β = 60.00°, γ = 60.00°
Closest atoms and distances in Å follow each position.
Atoms (fractional coordinates):
1 Sc 0.7500 0.7500 0.7500  4 Au 2.86, 4 As 2.86
2 As 0.5000 0.5000 0.5000  4 Li 2.86, 4 Sc 2.86
3 Au 0.0000 0.0000 0.0000  4 Li 2.86, 4 Sc 2.86
4 Li 0.2500 0.2500 0.2500  4 As 2.86, 4 Au 2.86

As for the total energy: -4.81 eV/atom.

# 3
This record from Alexandria via LeMat-Bulk describes a relaxed structure of I. The functional is PBE.

a = 5.5368 Å, b = 5.6773 Å, c = 7.9173 Å
α = 86.59°, β = 83.10°, γ = 68.77°
Closest atoms and distances in Å follow each position.
Atoms (fractional coordinates):
1 I 0.5479 0.7348 0.9545  2 I 2.93-2.98
2 I 0.4521 0.2652 0.0455  2 I 2.93-2.98
3 I 0.8440 0.0793 0.3694  1 I 2.75
4 I 0.1560 0.9207 0.6306  1 I 2.75

As for the distance to the lowest polymorph of the same formula: 0.07 eV per formula unit. Its uncorrected formation energy is 0.07 eV per atom.

# 4
This record from Alexandria via LeMat-Bulk describes a relaxed structure of CuH2PbF8. The functional is PBE.

a = 3.7640 Å, b = 5.1400 Å, c = 8.6037 Å
α = 101.49°, β = 84.94°, γ = 68.41°
Closest atoms and distances in Å follow each position.
Atoms (fractional coordinates):
1 Cu 0.0000 0.0000 0.0000  4 F 1.77-1.83
2 H 0.4637 0.5328 0.7668  1 F 1.04
3 H 0.5363 0.4672 0.2332  1 F 1.04
4 Pb 0.0000 0.0000 0.5000  6 F 2.25-2.34
5 F 0.2780 0.6483 0.2553  1 H 1.04
6 F 0.7373 0.8029 0.0604  1 Cu 1.77
7 F 0.8617 0.2344 0.2040  1 H 1.32
8 F 0.7220 0.3517 0.7447  1 H 1.04
9 F 0.2627 0.1971 0.9396  1 Cu 1.77
10 F 0.1383 0.7656 0.7960  1 H 1.32
11 F 0.6193 0.7591 0.5375  2 Pb 2.25-2.29
12 F 0.3807 0.2409 0.4625  2 Pb 2.25-2.29

As for the total energy: -4.05 eV/atom.

# 5
This record from Alexandria via LeMat-Bulk describes a relaxed structure of Nd4Ni2I. The functional is PBE.

a = 8.4072 Å, b = 8.4074 Å, c = 8.4062 Å
α = 121.46°, β = 107.45°, γ = 100.28°
Closest atoms and distances in Å follow each position.
Atoms (fractional coordinates):
1 Nd 0.8782 0.1641 0.2862  3 Ni 2.74-3.05
2 Nd 0.3721 0.5859 0.2141  3 Ni 2.74-3.05
3 Nd 0.8779 0.5920 0.7139  3 Ni 2.74-3.05
4 Nd 0.8163 0.1276 0.6890  3 Ni 2.74-2.79
5 Nd 0.4386 0.1273 0.3110  3 Ni 2.74-2.79
6 Nd 0.3718 0.1580 0.7859  3 Ni 2.74-3.05
7 Nd 0.4337 0.6226 0.8112  3 Ni 2.74-2.79
8 Nd 0.8114 0.6225 0.1888  3 Ni 2.74-2.79
9 Ni 0.6249 0.3750 0.7498  6 Nd 2.74-2.79
10 Ni 0.6251 0.8750 0.2500  6 Nd 2.74-2.79
11 Ni 0.6250 0.3748 0.2497  6 Nd 2.74-3.05
12 Ni 0.1250 0.3751 0.7501  6 Nd 2.74-3.05
13 I 0.1628 0.6629 0.5001  4 Nd 3.13-3.26
14 I 0.0872 0.0872 0.0001  4 Nd 3.13-3.26

Its uncorrected formation energy is -0.31 eV per atom.

# 6
This record from Alexandria via LeMat-Bulk describes a relaxed structure of Ac2Al3Au2. The functional is PBE.

a = 4.7126 Å, b = 7.5068 Å, c = 10.1252 Å
α = 90.00°, β = 103.46°, γ = 90.00°
Closest atoms and distances in Å follow each position.
Atoms (fractional coordinates):
1 Ac 0.1597 0.2500 0.3195  6 Al 3.26-3.35, 6 Au 3.31-3.40
2 Ac 0.8403 0.7500 0.6805  6 Al 3.26-3.35, 6 Au 3.31-3.40
3 Ac 0.9421 0.2500 0.8843  9 Al 3.31-3.53
4 Ac 0.0579 0.7500 0.1157  9 Al 3.31-3.53
5 Al 0.2261 0.7500 0.4523  6 Au 2.87-2.90
6 Al 0.7739 0.2500 0.5477  6 Au 2.87-2.90
7 Al 0.5581 0.4231 0.1163  2 Al 2.57-2.60, 1 Au 2.68
8 Al 0.4419 0.5769 0.8837  2 Al 2.57-2.60, 1 Au 2.68
9 Al 0.4419 0.9231 0.8837  2 Al 2.57-2.60, 1 Au 2.68
10 Al 0.5581 0.0769 0.1163  2 Al 2.57-2.60, 1 Au 2.68
11 Au 0.6850 0.9467 0.3700  4 Al 2.68-2.90, 1 Au 2.95
12 Au 0.3150 0.0533 0.6300  4 Al 2.68-2.90, 1 Au 2.95
13 Au 0.3150 0.4467 0.6300  4 Al 2.68-2.90, 1 Au 2.95
14 Au 0.6850 0.5533 0.3700  4 Al 2.68-2.90, 1 Au 2.95

As for the distance to the lowest polymorph of the same formula: 0.34 eV per formula unit.

# 7
This record from Alexandria via LeMat-Bulk describes a relaxed structure of TaNb3H4. The functional is PBE.

a = 4.9128 Å, b = 4.8634 Å, c = 6.9879 Å
α = 90.00°, β = 90.00°, γ = 90.00°
Closest atoms and distances in Å follow each position.
Atoms (fractional coordinates):
1 Ta 0.0025 0.2547 0.0000  4 H 1.93
2 Ta 0.5025 0.7453 0.5000  4 H 1.93
3 Nb 0.5020 0.7484 0.0000  4 H 1.95-1.96
4 Nb 0.0024 0.7522 0.2500  4 H 1.94-1.95
5 Nb 0.5024 0.2478 0.2500  4 H 1.94-1.95
6 Nb 0.0020 0.2516 0.5000  4 H 1.95-1.96
7 Nb 0.5024 0.2478 0.7500  4 H 1.94-1.95
8 Nb 0.0024 0.7522 0.7500  4 H 1.94-1.95
9 H 0.1242 0.8781 0.0000  1 Ta 1.93, 3 Nb 1.95-1.96
10 H 0.6300 0.1274 0.0000  1 Ta 1.93, 3 Nb 1.95
11 H 0.1259 0.3732 0.2488  1 Ta 1.93, 3 Nb 1.94-1.95
12 H 0.6259 0.6268 0.2512  1 Ta 1.93, 3 Nb 1.94-1.95
13 H 0.1300 0.8726 0.5000  1 Ta 1.93, 3 Nb 1.95
14 H 0.6242 0.1219 0.5000  1 Ta 1.93, 3 Nb 1.95-1.96
15 H 0.6259 0.6268 0.7488  1 Ta 1.93, 3 Nb 1.94-1.95
16 H 0.1259 0.3732 0.7512  1 Ta 1.93, 3 Nb 1.94-1.95

As for the total energy: -7.14 eV/atom.

# 8
This record from Alexandria via LeMat-Bulk describes a relaxed structure of Cs2TbPuS4. The functional is PBE.

a = 4.1524 Å, b = 7.2072 Å, c = 8.3939 Å
α = 106.60°, β = 90.00°, γ = 90.00°
Closest atoms and distances in Å follow each position.
Atoms (fractional coordinates):
1 Cs 0.5000 0.0000 0.5000  6 S 3.51-3.53
2 Cs 0.0000 0.5000 0.5000  6 S 3.49-3.52
3 Tb 0.5000 0.5000 0.0000  6 S 2.80
4 Pu 0.0000 0.0000 0.0000  6 S 2.80-2.83
5 S 0.5000 0.2275 0.1797  1 Tb 2.80, 2 Pu 2.80
6 S 0.5000 0.7725 0.8203  1 Tb 2.80, 2 Pu 2.80
7 S 0.0000 0.2754 0.8177  2 Tb 2.80, 1 Pu 2.83
8 S 0.0000 0.7246 0.1823  2 Tb 2.80, 1 Pu 2.83

Its uncorrected formation energy is -1.67 eV per atom.